Cs3TlSb | PBE | relaxed

Summary:
Formation energy without anion corrections (eV per atom): 0.066

Structure (POSCAR):
```
Cs3TlSb
1.0
-4.725 -5.137 -2.515
4.065 -5.311 3.211
-4.024 0.667 6.197
Cs Tl Sb
3 1 1
Direct
0.000 0.500 0.000 Cs
0.000 0.000 0.500 Cs
0.500 0.000 0.000 Cs
0.500 0.500 0.500 Tl
0.000 0.000 0.000 Sb
```